1.
# LiGdTlZn, relaxed, DFT PBE
# - DFT formation energy: -0.28 eV per atom
# - Magnetic moment: 1.7694 μB/atom
# - DFT total energy: -5.1843 eV/atom
# - Fermi-level density of states: 0.583 states/eV/atom
data_LiGdTlZn
_chemical_formula_sum 'Li4 Gd4 Tl4 Zn4'
_space_group_name_H-M_alt 'F -4 3 m'
_space_group_IT_number 216
_space_group_name_Hall 'F -4 2 3'
_cell_length_a 7.106
_cell_length_b 7.106
_cell_length_c 7.106
_cell_angle_alpha 90.00
_cell_angle_beta 90.00
_cell_angle_gamma 90.00
loop_
_atom_site_label
_atom_site_type_symbol
_atom_site_fract_x
_atom_site_fract_y
_atom_site_fract_z
_atom_site_occupancy
Li1 Li 0.000 0.000 0.000 1
Gd1 Gd 0.000 0.000 0.500 1
Tl1 Tl 0.250 0.250 0.750 1
Zn1 Zn 0.250 0.250 0.250 1

=====

2.
# Ti5V2H12, relaxed, DFT PBE
# - Magnetic moment: 0.0000 μB/atom
# - DFT total energy: -5.4343 eV/atom
# - Fermi-level density of states: 0.568 states/eV/atom
data_Ti5V2H12
_chemical_formula_sum 'Ti10 V4 H24'
_space_group_name_H-M_alt 'C 1 2/m 1'
_space_group_IT_number 12
_space_group_name_Hall '-C 2y'
_cell_length_a 9.868
_cell_length_b 5.125
_cell_length_c 6.041
_cell_angle_alpha 90.00
_cell_angle_beta 105.38
_cell_angle_gamma 90.00
loop_
_atom_site_label
_atom_site_type_symbol
_atom_site_fract_x
_atom_site_fract_y
_atom_site_fract_z
_atom_site_occupancy
Ti1 Ti 0.000 0.000 0.000 1
Ti2 Ti 0.177 0.500 0.861 1
Ti3 Ti 0.205 0.500 0.330 1
V1 V 0.000 0.240 0.500 1
H1 H 0.012 0.500 0.296 1
H2 H 0.053 0.000 0.330 1
H3 H 0.159 0.245 0.084 1
H4 H 0.183 0.296 0.596 1

=====

3.
# TbZn8Ru2, relaxed, DFT PBE
# - DFT formation energy: -0.12 eV per atom
# - Magnetic moment: 0.0000 μB/atom
# - DFT total energy: -3.1501 eV/atom
# - Fermi-level density of states: 0.380 states/eV/atom
data_TbZn8Ru2
_chemical_formula_sum 'Tb2 Zn16 Ru4'
_space_group_name_H-M_alt 'C 1 2/m 1'
_space_group_IT_number 12
_space_group_name_Hall '-C 2y'
_cell_length_a 7.109
_cell_length_b 13.606
_cell_length_c 4.631
_cell_angle_alpha 90.00
_cell_angle_beta 130.50
_cell_angle_gamma 90.00
loop_
_atom_site_label
_atom_site_type_symbol
_atom_site_fract_x
_atom_site_fract_y
_atom_site_fract_z
_atom_site_occupancy
Tb1 Tb 0.000 0.000 0.000 1
Zn1 Zn 0.000 0.210 0.000 1
Zn2 Zn 0.000 0.500 0.251 1
Zn3 Zn 0.236 0.136 0.736 1
Ru1 Ru 0.000 0.318 0.500 1

=====

4.
# MgTe2WN, relaxed, DFT PBE
# - ΔE_f (raw): 1.359 eV/atom
# - Magnetic moment: 0.9306 μB/atom
# - E above lowest polymorph: 120.6 kJ/mol of atoms
# - DFT total energy: -4.4720 eV/atom
# - Fermi-level density of states: 0.876 states/eV/atom
data_MgTe2WN
_chemical_formula_sum 'Mg1 Te2 W1 N1'
_space_group_name_H-M_alt 'P 4/m m m'
_space_group_IT_number 123
_space_group_name_Hall '-P 4 2'
_cell_length_a 5.473
_cell_length_b 5.473
_cell_length_c 3.780
_cell_angle_alpha 90.00
_cell_angle_beta 90.00
_cell_angle_gamma 90.00
loop_
_atom_site_label
_atom_site_type_symbol
_atom_site_fract_x
_atom_site_fract_y
_atom_site_fract_z
_atom_site_occupancy
Mg1 Mg 0.000 0.000 0.000 1
Te1 Te 0.000 0.500 0.000 1
W1 W 0.500 0.500 0.500 1
N1 N 0.000 0.000 0.500 1

=====

5.
# CaFe2Ag2, relaxed, DFT PBE
# - DFT formation energy: 0.30 eV per atom
# - Magnetic moment: 1.1087 μB/atom
# - E above lowest polymorph: 0.0 kJ/mol of atoms
# - DFT total energy: -4.6254 eV/atom
# - Fermi-level density of states: 1.626 states/eV/atom
data_CaFe2Ag2
_chemical_formula_sum 'Ca2 Fe4 Ag4'
_space_group_name_H-M_alt 'I 4/m m m'
_space_group_IT_number 139
_space_group_name_Hall '-I 4 2'
_cell_length_a 3.686
_cell_length_b 3.686
_cell_length_c 14.020
_cell_angle_alpha 90.00
_cell_angle_beta 90.00
_cell_angle_gamma 90.00
loop_
_atom_site_label
_atom_site_type_symbol
_atom_site_fract_x
_atom_site_fract_y
_atom_site_fract_z
_atom_site_occupancy
Ca1 Ca 0.000 0.000 0.000 1
Fe1 Fe 0.000 0.500 0.250 1
Ag1 Ag 0.000 0.000 0.393 1

=====

6.
# LuCdInCu, relaxed, DFT PBE
# - DFT formation energy: -0.18 eV per atom
# - Magnetic moment: 0.0000 μB/atom
# - DFT total energy: -3.2467 eV/atom
# - Fermi-level density of states: 0.594 states/eV/atom
data_LuCdInCu
_chemical_formula_sum 'Lu4 Cd4 In4 Cu4'
_space_group_name_H-M_alt 'F -4 3 m'
_space_group_IT_number 216
_space_group_name_Hall 'F -4 2 3'
_cell_length_a 6.881
_cell_length_b 6.881
_cell_length_c 6.881
_cell_angle_alpha 90.00
_cell_angle_beta 90.00
_cell_angle_gamma 90.00
loop_
_atom_site_label
_atom_site_type_symbol
_atom_site_fract_x
_atom_site_fract_y
_atom_site_fract_z
_atom_site_occupancy
Lu1 Lu 0.000 0.000 0.000 1
Cd1 Cd 0.250 0.250 0.750 1
In1 In 0.000 0.000 0.500 1
Cu1 Cu 0.250 0.250 0.250 1

=====

7.
# Cs3Pm2InO6, relaxed, DFT PBE
# - ΔE_f (raw): -2.121 eV/atom
# - Magnetic moment: 0.0000 μB/atom
# - DFT total energy: -5.8331 eV/atom
# - Fermi-level density of states: 0.000 states/eV/atom
data_Cs3Pm2InO6
_chemical_formula_sum 'Cs6 Pm4 In2 O12'
_space_group_name_H-M_alt 'C 1 2/m 1'
_space_group_IT_number 12
_space_group_name_Hall '-C 2y'
_cell_length_a 6.247
_cell_length_b 10.819
_cell_length_c 7.210
_cell_angle_alpha 90.00
_cell_angle_beta 106.78
_cell_angle_gamma 90.00
loop_
_atom_site_label
_atom_site_type_symbol
_atom_site_fract_x
_atom_site_fract_y
_atom_site_fract_z
_atom_site_occupancy
Cs1 Cs 0.000 0.000 0.000 1
Cs2 Cs 0.000 0.335 0.000 1
Pm1 Pm 0.000 0.167 0.500 1
In1 In 0.000 0.500 0.500 1
O1 O 0.217 0.339 0.668 1
O2 O 0.233 0.000 0.669 1

=====

8.
# LiCdSb2, relaxed, DFT PBE
# - ΔE_f (raw): -0.112 eV/atom
# - Magnetic moment: 0.0000 μB/atom
# - DFT total energy: -2.8802 eV/atom
# - Fermi-level density of states: 0.247 states/eV/atom
data_LiCdSb2
_chemical_formula_sum 'Li1 Cd1 Sb2'
_space_group_name_H-M_alt 'P 1 m 1'
_space_group_IT_number 6
_space_group_name_Hall 'P -2y'
_cell_length_a 3.195
_cell_length_b 5.397
_cell_length_c 6.059
_cell_angle_alpha 90.00
_cell_angle_beta 104.76
_cell_angle_gamma 90.00
loop_
_atom_site_label
_atom_site_type_symbol
_atom_site_fract_x
_atom_site_fract_y
_atom_site_fract_z
_atom_site_occupancy
Li1 Li 0.000 0.000 0.000 1
Cd1 Cd 0.176 0.500 0.339 1
Sb1 Sb 0.284 0.000 0.560 1
Sb2 Sb 0.446 0.500 0.888 1

=====

9.
# ZrSc2SnC, relaxed, DFT PBE
# - DFT formation energy: -0.71 eV per atom
# - Magnetic moment: 0.0000 μB/atom
# - DFT total energy: -7.5980 eV/atom
# - Fermi-level density of states: 0.495 states/eV/atom
data_ZrSc2SnC
_chemical_formula_sum 'Zr1 Sc2 Sn1 C1'
_space_group_name_H-M_alt 'P 4/m m m'
_space_group_IT_number 123
_space_group_name_Hall '-P 4 2'
_cell_length_a 4.527
_cell_length_b 4.527
_cell_length_c 4.582
_cell_angle_alpha 90.00
_cell_angle_beta 90.00
_cell_angle_gamma 90.00
loop_
_atom_site_label
_atom_site_type_symbol
_atom_site_fract_x
_atom_site_fract_y
_atom_site_fract_z
_atom_site_occupancy
Zr1 Zr 0.000 0.000 0.000 1
Sc1 Sc 0.000 0.500 0.500 1
Sn1 Sn 0.500 0.500 0.000 1
C1 C 0.000 0.000 0.500 1

=====

10.
# Cu2IrAu, relaxed, DFT PBE
# - DFT formation energy: 0.31 eV per atom
# - Magnetic moment: 0.0000 μB/atom
# - DFT total energy: -4.7680 eV/atom
# - Fermi-level density of states: 1.072 states/eV/atom
data_Cu2IrAu
_chemical_formula_sum 'Cu8 Ir4 Au4'
_space_group_name_H-M_alt 'F -4 3 m'
_space_group_IT_number 216
_space_group_name_Hall 'F -4 2 3'
_cell_length_a 6.150
_cell_length_b 6.150
_cell_length_c 6.150
_cell_angle_alpha 90.00
_cell_angle_beta 90.00
_cell_angle_gamma 90.00
loop_
_atom_site_label
_atom_site_type_symbol
_atom_site_fract_x
_atom_site_fract_y
_atom_site_fract_z
_atom_site_occupancy
Cu1 Cu 0.000 0.000 0.000 1
Cu2 Cu 0.250 0.250 0.250 1
Ir1 Ir 0.000 0.000 0.500 1
Au1 Au 0.250 0.250 0.750 1

=====

11.
# Rb2MgAsSe4, relaxed, DFT PBE
# - ΔE_f (raw): -0.784 eV/atom
# - Magnetic moment: 0.0002 μB/atom
# - DFT total energy: -3.5487 eV/atom
# - Fermi-level density of states: 0.664 states/eV/atom
data_Rb2MgAsSe4
_chemical_formula_sum 'Rb16 Mg8 As8 Se32'
_space_group_name_H-M_alt 'F d d d'
_space_group_IT_number 70
_cell_length_a 6.336
_cell_length_b 14.431
_cell_length_c 24.978
_cell_angle_alpha 90.00
_cell_angle_beta 90.00
_cell_angle_gamma 90.00
loop_
_space_group_symop_operation_xyz
'x,y,z'
'-x,-y,-z'
'-x+1/4,-y+1/4,z'
'x+1/4,y+1/4,-z'
'x,-y+1/4,-z+1/4'
'-x,y+1/4,z+1/4'
'-x+1/4,y,-z+1/4'
'x+1/4,-y,z+1/4'
'x,y+1/2,z+1/2'
'-x,-y+1/2,-z+1/2'
'-x+1/4,-y+3/4,z+1/2'
'x+1/4,y+3/4,-z+1/2'
'x,-y+3/4,-z+3/4'
'-x,y+3/4,z+3/4'
'-x+1/4,y+1/2,-z+3/4'
'x+1/4,-y+1/2,z+3/4'
'x+1/2,y,z+1/2'
'-x+1/2,-y,-z+1/2'
'-x+3/4,-y+1/4,z+1/2'
'x+3/4,y+1/4,-z+1/2'
'x+1/2,-y+1/4,-z+3/4'
'-x+1/2,y+1/4,z+3/4'
'-x+3/4,y,-z+3/4'
'x+3/4,-y,z+3/4'
'x+1/2,y+1/2,z'
'-x+1/2,-y+1/2,-z'
'-x+3/4,-y+3/4,z'
'x+3/4,y+3/4,-z'
'x+1/2,-y+3/4,-z+1/4'
'-x+1/2,y+3/4,z+1/4'
'-x+3/4,y+1/2,-z+1/4'
'x+3/4,-y+1/2,z+1/4'
loop_
_atom_site_label
_atom_site_type_symbol
_atom_site_fract_x
_atom_site_fract_y
_atom_site_fract_z
_atom_site_occupancy
Rb1 Rb 0.125 0.125 0.306 1
Mg1 Mg 0.125 0.125 0.125 1
As1 As 0.125 0.125 0.625 1
Se1 Se 0.112 0.274 0.822 1

=====

12.
# UInCuAg, relaxed, DFT PBE
# - DFT formation energy: 0.20 eV per atom
# - Magnetic moment: 0.6631 μB/atom
# - DFT total energy: -5.0445 eV/atom
# - Fermi-level density of states: 2.478 states/eV/atom
data_UInCuAg
_chemical_formula_sum 'U4 In4 Cu4 Ag4'
_space_group_name_H-M_alt 'F -4 3 m'
_space_group_IT_number 216
_space_group_name_Hall 'F -4 2 3'
_cell_length_a 6.902
_cell_length_b 6.902
_cell_length_c 6.902
_cell_angle_alpha 90.00
_cell_angle_beta 90.00
_cell_angle_gamma 90.00
loop_
_atom_site_label
_atom_site_type_symbol
_atom_site_fract_x
_atom_site_fract_y
_atom_site_fract_z
_atom_site_occupancy
U1 U 0.000 0.000 0.000 1
In1 In 0.000 0.000 0.500 1
Cu1 Cu 0.250 0.250 0.750 1
Ag1 Ag 0.250 0.250 0.250 1

=====

Repeat the third record exactly.
# TbZn8Ru2, relaxed, DFT PBE
# - DFT formation energy: -0.12 eV per atom
# - Magnetic moment: 0.0000 μB/atom
# - DFT total energy: -3.1501 eV/atom
# - Fermi-level density of states: 0.380 states/eV/atom
data_TbZn8Ru2
_chemical_formula_sum 'Tb2 Zn16 Ru4'
_space_group_name_H-M_alt 'C 1 2/m 1'
_space_group_IT_number 12
_space_group_name_Hall '-C 2y'
_cell_length_a 7.109
_cell_length_b 13.606
_cell_length_c 4.631
_cell_angle_alpha 90.00
_cell_angle_beta 130.50
_cell_angle_gamma 90.00
loop_
_atom_site_label
_atom_site_type_symbol
_atom_site_fract_x
_atom_site_fract_y
_atom_site_fract_z
_atom_site_occupancy
Tb1 Tb 0.000 0.000 0.000 1
Zn1 Zn 0.000 0.210 0.000 1
Zn2 Zn 0.000 0.500 0.251 1
Zn3 Zn 0.236 0.136 0.736 1
Ru1 Ru 0.000 0.318 0.500 1